Record 1
First-principles (PBE-GGA) data for AgIrIO2 after structural relaxation, as listed in the Alexandria database.

a = 3.9340 Å, b = 3.9340 Å, c = 6.7609 Å
α = 90.00°, β = 90.00°, γ = 90.00°
Last column: nearest neighbours and their distance in Å.
Element x y z (fractional)
I 0.0000 0.0000 0.5000  4 Ir 2.78
Ir 0.5000 0.5000 0.5000  4 I 2.78
O 0.0000 0.5000 0.0000  2 Ag 1.97
O 0.5000 0.0000 0.0000  2 Ag 1.97
Ag 0.0000 0.0000 0.0000  4 O 1.97

Computed properties:
SG   P4/mmm, No. 123
E_form (uncorrected)   1.034 eV/atom
E above lowest polymorph   1229 meV per atom

Record 2
First-principles (PBE-GGA) data for ScPdRh after structural relaxation, as listed in the Alexandria database.

a = 3.1382 Å, b = 3.1382 Å, c = 10.9373 Å
α = 98.25°, β = 98.25°, γ = 90.00°
Last column: nearest neighbours and their distance in Å.
Element x y z (fractional)
Rh 0.2924 0.2924 0.5847  4 Sc 2.69, 4 Rh 2.87
Rh 0.7076 0.7076 0.4153  4 Sc 2.69, 4 Rh 2.87
Sc 0.1368 0.1368 0.2735  4 Rh 2.69, 4 Pd 2.75
Sc 0.8632 0.8632 0.7265  4 Rh 2.69, 4 Pd 2.75
Pd 0.5613 0.5613 0.1225  1 Pd 2.62, 4 Sc 2.75
Pd 0.4387 0.4387 0.8775  1 Pd 2.62, 4 Sc 2.75

Computed properties:
ΔH_f (0 K)   -52.6 kJ/mol of atoms
SG   I4/mmm, No. 139
E above lowest polymorph   99 meV per atom

Record 3
First-principles (PBE-GGA) data for Tb2CeScS4 after structural relaxation, as listed in the Alexandria database.

a = 3.8849 Å, b = 6.7811 Å, c = 6.7421 Å
α = 109.26°, β = 90.00°, γ = 90.00°
Last column: nearest neighbours and their distance in Å.
Element x y z (fractional)
Tb 0.5000 0.0000 0.5000  6 S 2.73
Tb 0.0000 0.5000 0.5000  6 S 2.82
Ce 0.5000 0.5000 0.0000  6 S 2.79
Sc 0.0000 0.0000 0.0000  6 S 2.69
S 0.5000 0.2361 0.2409  2 Sc 2.69, 3 Tb 2.73-2.82, 1 Ce 2.79
S 0.5000 0.7639 0.7591  2 Sc 2.69, 3 Tb 2.73-2.82, 1 Ce 2.79
S 0.0000 0.2387 0.7504  1 Sc 2.69, 3 Tb 2.73-2.82, 2 Ce 2.79
S 0.0000 0.7613 0.2496  1 Sc 2.69, 3 Tb 2.73-2.82, 2 Ce 2.79

Computed properties:
SG   P2/m, No. 10
E_form (uncorrected)   -1.961 eV/atom

Record 4
First-principles (PBE-GGA) data for HgPtN2O after structural relaxation, as listed in the Alexandria database.

a = 4.2031 Å, b = 4.2031 Å, c = 4.2702 Å
α = 90.00°, β = 90.00°, γ = 90.00°
Last column: nearest neighbours and their distance in Å.
Element x y z (fractional)
O 0.0000 0.0000 0.5000  2 Hg 2.14
Hg 0.0000 0.0000 0.0000  4 N 2.10, 2 O 2.14
Pt 0.5000 0.5000 0.5000  4 O 2.97, 8 N 3.00
N 0.0000 0.5000 0.0000  2 Hg 2.10
N 0.5000 0.0000 0.0000  2 Hg 2.10

Computed properties:
SG   P4/mmm, No. 123
E_form (uncorrected)   2.411 eV/atom

Record 5
First-principles (PBE-GGA) data for In2CuMo2 after structural relaxation, as listed in the Alexandria database.

a = 7.7141 Å, b = 7.7141 Å, c = 3.3009 Å
α = 90.00°, β = 90.00°, γ = 90.00°
Last column: nearest neighbours and their distance in Å.
Element x y z (fractional)
Mo 0.1074 0.6074 0.5000  1 Mo 2.34
Mo 0.6074 0.8926 0.5000  1 Mo 2.34
Mo 0.8926 0.3926 0.5000  1 Mo 2.34
Mo 0.3926 0.1074 0.5000  1 Mo 2.34
Cu 0.0000 0.0000 0.0000  4 In 2.82
Cu 0.5000 0.5000 0.0000  4 In 2.82
In 0.3154 0.8154 0.0000  6 Mo 2.81-2.86, 2 Cu 2.82
In 0.8154 0.6846 0.0000  6 Mo 2.81-2.86, 2 Cu 2.82
In 0.6846 0.1846 0.0000  6 Mo 2.81-2.86, 2 Cu 2.82
In 0.1846 0.3154 0.0000  6 Mo 2.81-2.86, 2 Cu 2.82

Computed properties:
ΔH_f (0 K)   60.2 kJ/mol of atoms
SG   P4/mbm, No. 127
E above lowest polymorph   174 meV per atom

Record 6
First-principles (PBE-GGA) data for B2Ir2N after structural relaxation, as listed in the Alexandria database.

a = 6.1176 Å, b = 6.1176 Å, c = 2.7245 Å
α = 90.00°, β = 90.00°, γ = 90.00°
Last column: nearest neighbours and their distance in Å.
Element x y z (fractional)
B 0.3662 0.8662 0.0000  6 Ir 2.24-2.26, 1 B 2.32, 2 N 2.38
B 0.8662 0.6338 0.0000  6 Ir 2.24-2.26, 1 B 2.32, 2 N 2.38
B 0.6338 0.1338 0.0000  6 Ir 2.24-2.26, 1 B 2.32, 2 N 2.38
B 0.1338 0.3662 0.0000  6 Ir 2.24-2.26, 1 B 2.32, 2 N 2.38
Ir 0.1603 0.6603 0.5000  6 B 2.24-2.26
Ir 0.6603 0.8397 0.5000  6 B 2.24-2.26
Ir 0.8397 0.3397 0.5000  6 B 2.24-2.26
Ir 0.3397 0.1603 0.5000  6 B 2.24-2.26
N 0.0000 0.0000 0.0000  4 B 2.38
N 0.5000 0.5000 0.0000  4 B 2.38

Computed properties:
SG   P4/mbm, No. 127
E_form (uncorrected)   1.001 eV/atom
E above lowest polymorph   528 meV per atom

Record 7
First-principles (PBE-GGA) data for CdFeAs2Ru after structural relaxation, as listed in the Alexandria database.

a = 4.9668 Å, b = 4.8081 Å, c = 4.9668 Å
α = 90.00°, β = 90.00°, γ = 90.00°
Last column: nearest neighbours and their distance in Å.
Element x y z (fractional)
Ru 0.5000 0.5000 0.5000  8 As 3.46, 4 Fe 3.51
As 0.0000 0.0000 0.5000  2 Cd 2.48
As 0.5000 0.0000 0.0000  2 Cd 2.48
Fe 0.0000 0.5000 0.0000  2 Cd 2.40
Cd 0.0000 0.0000 0.0000  2 Fe 2.40, 4 As 2.48

Computed properties:
ΔH_f (0 K)   169.0 kJ/mol of atoms
SG   P4/mmm, No. 123

Record 8
First-principles (PBE-GGA) data for Ti8Si3C4 after structural relaxation, as listed in the Alexandria database.

a = 6.4451 Å, b = 6.5800 Å, c = 6.5800 Å
α = 90.04°, β = 118.75°, γ = 118.75°
Last column: nearest neighbours and their distance in Å.
Element x y z (fractional)
Ti 0.4531 0.2101 0.2101  2 C 2.14-2.17, 2 Si 2.34
Ti 0.0000 0.7632 0.2368  3 C 2.20-2.33, 2 Si 2.37
Ti 0.9665 0.2213 0.2213  4 C 2.20-2.34
Ti 0.5000 0.7649 0.2351  3 C 2.19-2.37, 2 Si 2.33
Ti 0.5000 0.2351 0.7649  3 C 2.19-2.37, 2 Si 2.33
Ti 0.0335 0.7787 0.7787  4 C 2.20-2.34
Ti 0.0000 0.2368 0.7632  3 C 2.20-2.33, 2 Si 2.37
Ti 0.5469 0.7899 0.7899  2 C 2.14-2.17, 2 Si 2.34
Si 0.5000 0.5000 0.0000  6 Ti 2.33-2.37
Si 0.5000 0.0000 0.5000  6 Ti 2.33-2.37
Si 0.5000 0.5000 0.5000  6 Ti 2.47-2.53
C 0.5000 0.0000 0.0000  6 Ti 2.17-2.20
C 0.0000 0.5000 0.0000  6 Ti 2.33-2.37
C 0.0000 0.0000 0.0000  6 Ti 2.14-2.21
C 0.0000 0.0000 0.5000  6 Ti 2.33-2.37

Computed properties:
SG   C2/m, No. 12
E_form (uncorrected)   -0.348 eV/atom

Record 9
First-principles (PBE-GGA) data for NaP2IO8 after structural relaxation, as listed in the Alexandria database.

a = 4.9499 Å, b = 4.9499 Å, c = 7.7302 Å
α = 91.07°, β = 91.07°, γ = 65.82°
Last column: nearest neighbours and their distance in Å.
Element x y z (fractional)
Na 0.0000 0.0000 0.5000  2 O 2.30
P 0.6526 0.6526 0.2205  4 O 1.48-1.59
P 0.3474 0.3474 0.7795  4 O 1.48-1.59
I 0.0000 0.0000 0.0000  6 O 2.07-2.13
O 0.6986 0.2241 0.7976  1 P 1.59
O 0.7561 0.7561 0.0510  1 P 1.58
O 0.7412 0.7412 0.3888  1 P 1.48
O 0.2588 0.2588 0.6112  1 P 1.48
O 0.2439 0.2439 0.9490  1 P 1.58
O 0.2241 0.6986 0.7976  1 P 1.59
O 0.7759 0.3014 0.2024  1 P 1.59
O 0.3014 0.7759 0.2024  1 P 1.59

Computed properties:
SG   C2/m, No. 12
E_form (uncorrected)   -1.539 eV/atom

Record 10
First-principles (PBE-GGA) data for MgPbNF2 after structural relaxation, as listed in the Alexandria database.

a = 4.5285 Å, b = 4.5285 Å, c = 4.4800 Å
α = 90.00°, β = 90.00°, γ = 90.00°
Last column: nearest neighbours and their distance in Å.
Element x y z (fractional)
Pb 0.0000 0.0000 0.0000  2 N 2.24, 4 F 2.26
Mg 0.5000 0.5000 0.5000  8 F 3.19, 4 N 3.20
N 0.0000 0.0000 0.5000  2 Pb 2.24
F 0.0000 0.5000 0.0000  2 Pb 2.26
F 0.5000 0.0000 0.0000  2 Pb 2.26

Computed properties:
SG   P4/mmm, No. 123
E_form (uncorrected)   -0.642 eV/atom
E above lowest polymorph   873 meV per atom

Record 11
First-principles (PBE-GGA) data for InAg3P2O8 after structural relaxation, as listed in the Alexandria database.

a = 5.2314 Å, b = 5.2314 Å, c = 7.6262 Å
α = 85.34°, β = 85.34°, γ = 64.17°
Last column: nearest neighbours and their distance in Å.
Element x y z (fractional)
In 0.0000 0.0000 0.0000  6 O 2.14-2.19
Ag 0.3650 0.3650 0.6422  3 O 2.28-2.52
Ag 0.6350 0.6350 0.3578  3 O 2.28-2.52
Ag 0.0000 0.0000 0.5000  2 O 2.21
P 0.6660 0.6660 0.7910  4 O 1.53-1.57
P 0.3340 0.3340 0.2090  4 O 1.53-1.57
O 0.2413 0.2413 0.3941  1 P 1.56
O 0.7686 0.7686 0.9406  1 P 1.53
O 0.6670 0.2143 0.2015  1 P 1.57
O 0.7857 0.3330 0.7985  1 P 1.57
O 0.2314 0.2314 0.0594  1 P 1.53
O 0.2143 0.6670 0.2015  1 P 1.57
O 0.3330 0.7857 0.7985  1 P 1.57
O 0.7587 0.7587 0.6059  1 P 1.56

Computed properties:
SG   C2/m, No. 12
E_form (uncorrected)   -1.459 eV/atom

Record 12
First-principles (PBE-GGA) data for Ga2Co21B6 after structural relaxation, as listed in the Alexandria database.

a = 7.3948 Å, b = 7.3948 Å, c = 7.3948 Å
α = 60.00°, β = 60.00°, γ = 60.00°
Last column: nearest neighbours and their distance in Å.
Element x y z (fractional)
Ga 0.7500 0.7500 0.7500  4 Co 2.39
Ga 0.2500 0.2500 0.2500  4 Co 2.39
Co 0.0000 0.0000 0.0000  12 Co 2.48
Co 0.6180 0.6180 0.1459  3 B 2.06
Co 0.6180 0.1459 0.6180  3 B 2.06
Co 0.1459 0.6180 0.6180  3 B 2.06
Co 0.6180 0.6180 0.6180  3 B 2.06
Co 0.3820 0.3820 0.8541  3 B 2.06
Co 0.3820 0.8541 0.3820  3 B 2.06
Co 0.8541 0.3820 0.3820  3 B 2.06
Co 0.3820 0.3820 0.3820  3 B 2.06
Co 0.0000 0.0000 0.3360  2 B 2.10
Co 0.6640 0.0000 0.3360  2 B 2.10
Co 0.0000 0.6640 0.3360  2 B 2.10
Co 0.6640 0.3360 0.0000  2 B 2.10
Co 0.0000 0.3360 0.0000  2 B 2.10
Co 0.0000 0.3360 0.6640  2 B 2.10
Co 0.3360 0.6640 0.0000  2 B 2.10
Co 0.3360 0.0000 0.6640  2 B 2.10
Co 0.3360 0.0000 0.0000  2 B 2.10
Co 0.0000 0.0000 0.6640  2 B 2.10
Co 0.0000 0.6640 0.0000  2 B 2.10
Co 0.6640 0.0000 0.0000  2 B 2.10
B 0.7221 0.7221 0.2779  8 Co 2.06-2.10
B 0.2779 0.7221 0.2779  8 Co 2.06-2.10
B 0.7221 0.2779 0.2779  8 Co 2.06-2.10
B 0.2779 0.2779 0.7221  8 Co 2.06-2.10
B 0.7221 0.2779 0.7221  8 Co 2.06-2.10
B 0.2779 0.7221 0.7221  8 Co 2.06-2.10

Computed properties:
ΔH_f (0 K)   -19.6 kJ/mol of atoms
SG   Fm-3m, No. 225

Please write out number 7 again, unchanged.
First-principles (PBE-GGA) data for CdFeAs2Ru after structural relaxation, as listed in the Alexandria database.

a = 4.9668 Å, b = 4.8081 Å, c = 4.9668 Å
α = 90.00°, β = 90.00°, γ = 90.00°
Last column: nearest neighbours and their distance in Å.
Element x y z (fractional)
Ru 0.5000 0.5000 0.5000  8 As 3.46, 4 Fe 3.51
As 0.0000 0.0000 0.5000  2 Cd 2.48
As 0.5000 0.0000 0.0000  2 Cd 2.48
Fe 0.0000 0.5000 0.0000  2 Cd 2.40
Cd 0.0000 0.0000 0.0000  2 Fe 2.40, 4 As 2.48

Computed properties:
ΔH_f (0 K)   169.0 kJ/mol of atoms
SG   P4/mmm, No. 123